## RbNdBeS3 (PBE-GGA)

Data for RbNdBeS3 after structural relaxation.

Results
calculated volume = 320.1 Å³/cell
space-group type = No. 63
density = 3.475 g/cm³
E_tot = -61.814 eV per cell

a = 7.6308 Å, b = 7.6308 Å, c = 10.8438 Å
α = 90.00°, β = 90.00°, γ = 149.54°
Sites, in units of the cell vectors:
Rb 0.2585 0.7415 0.2500
S 0.9490 0.0510 0.2500
S 0.6168 0.3832 0.0885
Nd 0.0000 0.0000 0.5000
Nd 0.0000 0.0000 0.0000
Rb 0.7415 0.2585 0.7500
Be 0.5400 0.4600 0.2500
S 0.3832 0.6168 0.9115
S 0.6168 0.3832 0.4115
S 0.3832 0.6168 0.5885
S 0.0510 0.9490 0.7500
Be 0.4600 0.5400 0.7500

## DyUTe (PBE-GGA)

Data for DyUTe after structural relaxation.

Results
E above lowest polymorph = 0 meV per atom
calculated volume = 92.9 Å³/cell
space-group type = No. 216
density = 9.439 g/cm³
E_tot = -18.711 eV per cell

a = 5.0838 Å, b = 5.0838 Å, c = 5.0838 Å
α = 60.00°, β = 60.00°, γ = 60.00°
Sites, in units of the cell vectors:
Te 0.0000 0.0000 0.0000
U 0.7500 0.7500 0.7500
Dy 0.2500 0.2500 0.2500

## ErAlCu (PBE-GGA)

Data for ErAlCu after structural relaxation.

Results
calculated volume = 168.7 Å³/cell
space-group type = No. 189
density = 7.613 g/cm³
E_tot = -38.914 eV per cell

a = 6.6835 Å, b = 6.6835 Å, c = 4.3606 Å
α = 90.00°, β = 90.00°, γ = 120.00°
Sites, in units of the cell vectors:
Al 0.3333 0.6667 0.0000
Er 0.0000 0.5635 0.5000
Cu 0.2302 0.0000 0.0000
Er 0.4365 0.4365 0.5000
Al 0.6667 0.3333 0.0000
Cu 0.0000 0.2302 0.0000
Cu 0.7698 0.7698 0.0000
Er 0.5635 0.0000 0.5000
Al 0.0000 0.0000 0.5000